! GGA-PBE ScInOsRh2, optimized geometry; values from VASP
&SYSTEM
  ibrav = 0, nat = 5, ntyp = 4
/
ATOMIC_SPECIES
Os 190.23 Os.upf
In 114.82 In.upf
Rh 102.91 Rh.upf
Sc 44.96 Sc.upf
CELL_PARAMETERS angstrom
4.503 0.000 0.000
0.000 5.200 0.000
0.000 0.000 4.503
ATOMIC_POSITIONS angstrom
Os 2.252 2.600 2.252
In 0.000 2.600 0.000
Rh 0.000 0.000 2.252
Sc 0.000 0.000 0.000
Rh 2.252 0.000 0.000
! M_tot = 2.29 μB per cell
! formation enthalpy at 0 K = 1.436 eV per atom
! DFT total energy = -27.823 eV/cell
! N(E_F) = 0.86 states/eV per atom